Entry 1:
This record from Alexandria via LeMat-Bulk describes a relaxed structure of ZrBeCo. The functional is GGA-PBE.

Properties
Calculated formation energy in eV/atom: -0.227

Cell lengths 3.8134, 3.8134, 3.3283 Å; angles 90.00, 90.00, 120.00 degrees
Space group P-6m2 (No. 187)
One atom of each set of equivalent atoms:
Zr1 0.0000 0.0000 0.0000 x1
Be1 0.6667 0.3333 0.5000 x1
Co1 0.3333 0.6667 0.5000 x1

Entry 2:
This record from Alexandria via LeMat-Bulk describes a relaxed structure of La2CdIr. The functional is GGA-PBE.

Properties
Calculated formation energy in eV/atom: -0.317

Cell lengths 7.194, 7.194, 7.194 Å; angles 90.00, 90.00, 90.00 degrees
Space group F-43m (No. 216)
One atom of each set of equivalent atoms:
La1 0.000 0.000 0.000 x4
La2 0.250 0.250 0.250 x4
Cd1 0.250 0.250 0.750 x4
Ir1 0.000 0.000 0.500 x4

Entry 3:
This record from Alexandria via LeMat-Bulk describes a relaxed structure of CeGa3Ru. The functional is GGA-PBE.

Properties
Calculated formation energy in eV/atom: -0.364

Cell lengths 4.744, 4.744, 4.744 Å; angles 90.00, 90.00, 90.00 degrees
Space group Pm-3m (No. 221)
One atom of each set of equivalent atoms:
Ce1 0.000 0.000 0.000 x1
Ga1 0.000 0.500 0.500 x3
Ru1 0.500 0.500 0.500 x1

Entry 4:
This record from Alexandria via LeMat-Bulk describes a relaxed structure of CaAsBr3. The functional is GGA-PBE.

Properties
E_form (uncorrected) in eV per atom: -0.61

Cell lengths 5.645, 5.645, 5.645 Å; angles 90.00, 90.00, 90.00 degrees
Space group Pm-3m (No. 221)
One atom of each set of equivalent atoms:
Ca1 0.000 0.000 0.000 x1
As1 0.500 0.500 0.500 x1
Br1 0.000 0.000 0.500 x3

Entry 5:
This record from Alexandria via LeMat-Bulk describes a relaxed structure of Nd3BN4. The functional is GGA-PBE.

Properties
E_form (uncorrected) in eV per atom: -0.84

Cell lengths 7.238, 6.441, 5.430 Å; angles 90.00, 90.00, 90.00 degrees
Space group Pmn2_1 (No. 31)
One atom of each set of equivalent atoms:
Nd1 0.000 0.119 0.000 x2
Nd2 0.243 0.334 0.498 x4
B1 0.000 0.825 0.471 x2
N1 0.000 0.082 0.533 x2
N2 0.000 0.798 0.181 x2
N3 0.195 0.711 0.571 x4

Entry 6:
This record from Alexandria via LeMat-Bulk describes a relaxed structure of KNbCd. The functional is GGA-PBE.

Properties
Calculated formation energy in eV/atom: 0.598

Cell lengths 5.074, 7.212, 8.929 Å; angles 90.00, 90.00, 90.00 degrees
Space group Imma (No. 74)
One atom of each set of equivalent atoms:
K1 0.000 0.250 0.135 x4
Nb1 0.250 0.250 0.750 x4
Cd1 0.000 0.000 0.500 x4

Entry 7:
This record from Alexandria via LeMat-Bulk describes a relaxed structure of LiNdBr4. The functional is GGA-PBE.

Properties
E_form (uncorrected) in eV per atom: -1.73

Cell lengths 15.681, 4.255, 7.141 Å; angles 90.00, 116.66, 90.00 degrees
Space group C2/m (No. 12)
One atom of each set of equivalent atoms:
Li1 0.000 0.000 0.000 x2
Nd1 0.000 0.500 0.500 x2
Br1 0.105 0.500 0.946 x4
Br2 0.118 0.000 0.452 x4

Entry 8:
This record from Alexandria via LeMat-Bulk describes a relaxed structure of CoAsPb3. The functional is GGA-PBE.

Properties
Calculated formation energy in eV/atom: 1.026

Cell lengths 5.576, 5.576, 5.576 Å; angles 90.00, 90.00, 90.00 degrees
Space group Pm-3m (No. 221)
One atom of each set of equivalent atoms:
Co1 0.000 0.000 0.000 x1
As1 0.500 0.500 0.500 x1
Pb1 0.000 0.500 0.500 x3

Entry 9:
This record from Alexandria via LeMat-Bulk describes a relaxed structure of Pm2Ho2Hg. The functional is GGA-PBE.

Properties
Calculated formation energy in eV/atom: -0.181

Cell lengths 3.612, 3.612, 23.157 Å; angles 90.00, 90.00, 90.00 degrees
Space group I4/mmm (No. 139)
One atom of each set of equivalent atoms:
Pm1 0.000 0.000 0.194 x4
Ho1 0.000 0.000 0.416 x4
Hg1 0.000 0.000 0.000 x2

Entry 10:
This record from Alexandria via LeMat-Bulk describes a relaxed structure of KBeOs2. The functional is GGA-PBE.

Properties
Calculated formation energy in eV/atom: 0.710

Cell lengths 2.840, 4.573, 9.559 Å; angles 90.00, 90.00, 90.00 degrees
Space group Cmmm (No. 65)
One atom of each set of equivalent atoms:
K1 0.000 0.000 0.000 x2
Be1 0.000 0.000 0.500 x2
Os1 0.000 0.500 0.304 x4

Entry 11:
This record from Alexandria via LeMat-Bulk describes a relaxed structure of Ni2BAs. The functional is GGA-PBE.

Properties
Calculated formation energy in eV/atom: 0.377

Cell lengths 5.587, 5.587, 5.587 Å; angles 90.00, 90.00, 90.00 degrees
Space group Fm-3m (No. 225)
One atom of each set of equivalent atoms:
Ni1 0.250 0.250 0.250 x8
B1 0.000 0.000 0.000 x4
As1 0.000 0.000 0.500 x4

Entry 12:
This record from Alexandria via LeMat-Bulk describes a relaxed structure of NiAgCl2. The functional is GGA-PBE.

Properties
E_form (uncorrected) in eV per atom: -0.09

Cell lengths 3.342, 3.477, 14.543 Å; angles 90.00, 90.00, 90.00 degrees
Space group Imm2 (No. 44)
One atom of each set of equivalent atoms:
Ni1 0.000 0.000 0.000 x2
Ag1 0.000 0.500 0.348 x2
Cl1 0.000 0.000 0.530 x2
Cl2 0.000 0.500 0.768 x2

Calculated E, -6.69; -5.22; -5.22; -2.94; -7.62; -3.43; -3.96; -3.55; -3.97; -6.11; -5.35; -3.18 eV per atom (same order as the records).